# 1
Entry from the Alexandria database: crystalline NbPd4 at its relaxed geometry (PBE-GGA).

Structure (CIF):
```
data_NbPd4
_chemical_formula_sum 'Nb4 Pd16'
_space_group_name_H-M_alt 'I m m a'
_space_group_IT_number 74
_space_group_name_Hall '-I 2b 2'
_cell_length_a 4.040
_cell_length_b 5.546
_cell_length_c 14.238
_cell_angle_alpha 90.00
_cell_angle_beta 90.00
_cell_angle_gamma 90.00
loop_
_atom_site_label
_atom_site_fract_x
_atom_site_fract_y
_atom_site_fract_z
_atom_site_occupancy
Nb1 0.000 0.250 0.108 1
Pd1 0.000 0.000 0.500 1
Pd2 0.000 0.001 0.689 1
Pd3 0.000 0.250 0.907 1
```

ΔE_f   -0.29 eV per atom
Crystal system   orthorhombic
Final energy   -6.457 eV/atom

---

# 2
Entry from the Alexandria database: crystalline NbPd5 at its relaxed geometry (PBE-GGA).

Structure (CIF):
```
data_NbPd5
_chemical_formula_sum 'Nb2 Pd10'
_space_group_name_H-M_alt 'C 1 2/m 1'
_space_group_IT_number 12
_space_group_name_Hall '-C 2y'
_cell_length_a 4.868
_cell_length_b 8.439
_cell_length_c 4.834
_cell_angle_alpha 90.00
_cell_angle_beta 109.33
_cell_angle_gamma 90.00
loop_
_atom_site_label
_atom_site_fract_x
_atom_site_fract_y
_atom_site_fract_z
_atom_site_occupancy
Nb1 0.000 0.000 0.000 1
Pd1 0.000 0.164 0.500 1
Pd2 0.000 0.334 0.000 1
Pd3 0.000 0.500 0.500 1
```

ΔE_f   -0.29 eV per atom
Crystal system   monoclinic
Final energy   -6.299 eV/atom

---

# 3
Entry from the Alexandria database: crystalline NbPd4 at its relaxed geometry (PBE-GGA).

Structure (CIF):
```
data_NbPd4
_chemical_formula_sum 'Nb1 Pd4'
_space_group_name_H-M_alt 'P m -3 m'
_space_group_IT_number 221
_space_group_name_Hall '-P 4 2 3'
_cell_length_a 4.776
_cell_length_b 4.776
_cell_length_c 4.776
_cell_angle_alpha 90.00
_cell_angle_beta 90.00
_cell_angle_gamma 90.00
loop_
_atom_site_label
_atom_site_fract_x
_atom_site_fract_y
_atom_site_fract_z
_atom_site_occupancy
Nb1 0.000 0.000 0.000 1
Pd1 0.000 0.000 0.500 1
Pd2 0.500 0.500 0.500 1
```

ΔE_f   0.97 eV per atom
Crystal system   cubic
Final energy   -5.197 eV/atom

---

# 4
Entry from the Alexandria database: crystalline Nb3Pd5 at its relaxed geometry (PBE-GGA).

Structure (CIF):
```
data_Nb3Pd5
_chemical_formula_sum 'Nb6 Pd10'
_space_group_name_H-M_alt 'C m m m'
_space_group_IT_number 65
_space_group_name_Hall '-C 2 2'
_cell_length_a 8.107
_cell_length_b 8.183
_cell_length_c 3.901
_cell_angle_alpha 90.00
_cell_angle_beta 90.00
_cell_angle_gamma 90.00
loop_
_atom_site_label
_atom_site_fract_x
_atom_site_fract_y
_atom_site_fract_z
_atom_site_occupancy
Nb1 0.000 0.000 0.000 1
Nb2 0.248 0.500 0.500 1
Pd1 0.000 0.251 0.500 1
Pd2 0.000 0.500 0.000 1
Pd3 0.250 0.250 0.000 1
```

ΔE_f   -0.31 eV per atom
Crystal system   orthorhombic
Final energy   -7.329 eV/atom

---

# 5
Entry from the Alexandria database: crystalline Nb4Pd5 at its relaxed geometry (PBE-GGA).

Structure (CIF):
```
data_Nb4Pd5
_chemical_formula_sum 'Nb8 Pd10'
_space_group_name_H-M_alt 'C 1 2/m 1'
_space_group_IT_number 12
_space_group_name_Hall '-C 2y'
_cell_length_a 9.630
_cell_length_b 8.863
_cell_length_c 3.786
_cell_angle_alpha 90.00
_cell_angle_beta 113.05
_cell_angle_gamma 90.00
loop_
_atom_site_label
_atom_site_fract_x
_atom_site_fract_y
_atom_site_fract_z
_atom_site_occupancy
Nb1 0.000 0.171 0.000 1
Nb2 0.171 0.000 0.671 1
Pd1 0.000 0.500 0.000 1
Pd2 0.166 0.334 0.666 1
```

ΔE_f   -0.27 eV per atom
Crystal system   monoclinic
Final energy   -7.635 eV/atom

---

# 6
Entry from the Alexandria database: crystalline Nb3Pd7 at its relaxed geometry (PBE-GGA).

Structure (CIF):
```
data_Nb3Pd7
_chemical_formula_sum 'Nb6 Pd14'
_space_group_name_H-M_alt 'C 1 2/m 1'
_space_group_IT_number 12
_space_group_name_Hall '-C 2y'
_cell_length_a 14.476
_cell_length_b 3.927
_cell_length_c 5.703
_cell_angle_alpha 90.00
_cell_angle_beta 100.51
_cell_angle_gamma 90.00
loop_
_atom_site_label
_atom_site_fract_x
_atom_site_fract_y
_atom_site_fract_z
_atom_site_occupancy
Nb1 0.000 0.000 0.000 1
Nb2 0.202 0.000 0.611 1
Pd1 0.000 0.000 0.500 1
Pd2 0.097 0.500 0.798 1
Pd3 0.099 0.500 0.299 1
Pd4 0.198 0.000 0.103 1
```

ΔE_f   -0.33 eV per atom
Crystal system   monoclinic
Final energy   -6.981 eV/atom

---

# 7
Entry from the Alexandria database: crystalline NbPd2 at its relaxed geometry (PBE-GGA).

Structure (CIF):
```
data_NbPd2
_chemical_formula_sum 'Nb2 Pd4'
_space_group_name_H-M_alt 'I m m m'
_space_group_IT_number 71
_space_group_name_Hall '-I 2 2'
_cell_length_a 2.854
_cell_length_b 3.962
_cell_length_c 8.482
_cell_angle_alpha 90.00
_cell_angle_beta 90.00
_cell_angle_gamma 90.00
loop_
_atom_site_label
_atom_site_fract_x
_atom_site_fract_y
_atom_site_fract_z
_atom_site_occupancy
Nb1 0.000 0.000 0.000 1
Pd1 0.000 0.000 0.334 1
```

ΔE_f   -0.42 eV per atom
Crystal system   orthorhombic
Final energy   -7.243 eV/atom

---

# 8
Entry from the Alexandria database: crystalline Nb3Pd2 at its relaxed geometry (PBE-GGA).

Structure (CIF):
```
data_Nb3Pd2
_chemical_formula_sum 'Nb6 Pd4'
_space_group_name_H-M_alt 'I m m m'
_space_group_IT_number 71
_space_group_name_Hall '-I 2 2'
_cell_length_a 2.853
_cell_length_b 4.052
_cell_length_c 14.721
_cell_angle_alpha 90.00
_cell_angle_beta 90.00
_cell_angle_gamma 90.00
loop_
_atom_site_label
_atom_site_fract_x
_atom_site_fract_y
_atom_site_fract_z
_atom_site_occupancy
Nb1 0.000 0.000 0.000 1
Nb2 0.000 0.000 0.195 1
Pd1 0.000 0.000 0.402 1
```

ΔE_f   -0.14 eV per atom
Crystal system   orthorhombic
Final energy   -8.261 eV/atom

---

# 9
Entry from the Alexandria database: crystalline NbPd4 at its relaxed geometry (PBE-GGA).

Structure (CIF):
```
data_NbPd4
_chemical_formula_sum 'Nb2 Pd8'
_space_group_name_H-M_alt 'C 1 2/m 1'
_space_group_IT_number 12
_space_group_name_Hall '-C 2y'
_cell_length_a 7.682
_cell_length_b 5.229
_cell_length_c 4.558
_cell_angle_alpha 90.00
_cell_angle_beta 111.15
_cell_angle_gamma 90.00
loop_
_atom_site_label
_atom_site_fract_x
_atom_site_fract_y
_atom_site_fract_z
_atom_site_occupancy
Nb1 0.000 0.000 0.000 1
Pd1 0.000 0.258 0.500 1
Pd2 0.186 0.500 0.111 1
```

ΔE_f   -0.07 eV per atom
Crystal system   monoclinic
Final energy   -6.237 eV/atom

---

# 10
Entry from the Alexandria database: crystalline Nb5Pd2 at its relaxed geometry (PBE-GGA).

Structure (CIF):
```
data_Nb5Pd2
_chemical_formula_sum 'Nb10 Pd4'
_space_group_name_H-M_alt 'I 4/m m m'
_space_group_IT_number 139
_space_group_name_Hall '-I 4 2'
_cell_length_a 3.323
_cell_length_b 3.323
_cell_length_c 22.149
_cell_angle_alpha 90.00
_cell_angle_beta 90.00
_cell_angle_gamma 90.00
loop_
_atom_site_label
_atom_site_fract_x
_atom_site_fract_y
_atom_site_fract_z
_atom_site_occupancy
Nb1 0.000 0.000 0.000 1
Nb2 0.000 0.000 0.149 1
Nb3 0.000 0.000 0.426 1
Pd1 0.000 0.000 0.286 1
```

ΔE_f   -0.20 eV per atom
Crystal system   tetragonal
Final energy   -8.874 eV/atom

---

# 11
Entry from the Alexandria database: crystalline Nb13Pd3 at its relaxed geometry (PBE-GGA).

Structure (CIF):
```
data_Nb13Pd3
_chemical_formula_sum 'Nb26 Pd6'
_space_group_name_H-M_alt 'A m m 2'
_space_group_IT_number 38
_space_group_name_Hall 'A 2 -2'
_cell_length_a 6.661
_cell_length_b 9.311
_cell_length_c 9.156
_cell_angle_alpha 90.00
_cell_angle_beta 90.00
_cell_angle_gamma 90.00
loop_
_atom_site_label
_atom_site_fract_x
_atom_site_fract_y
_atom_site_fract_z
_atom_site_occupancy
Nb1 0.000 0.000 0.000 1
Nb2 0.000 0.000 0.498 1
Nb3 0.000 0.244 0.750 1
Nb4 0.248 0.250 0.003 1
Nb5 0.250 0.000 0.751 1
Nb6 0.500 0.000 0.509 1
Nb7 0.500 0.244 0.247 1
Pd1 0.249 0.000 0.256 1
Pd2 0.500 0.000 0.994 1
```

ΔE_f   -0.12 eV per atom
Crystal system   orthorhombic
Final energy   -9.280 eV/atom

---

# 12
Entry from the Alexandria database: crystalline Nb2Pd5 at its relaxed geometry (PBE-GGA).

Structure (CIF):
```
data_Nb2Pd5
_chemical_formula_sum 'Nb4 Pd10'
_space_group_name_H-M_alt 'P 4/m b m'
_space_group_IT_number 127
_space_group_name_Hall '-P 4 2ab'
_cell_length_a 9.185
_cell_length_b 9.185
_cell_length_c 2.825
_cell_angle_alpha 90.00
_cell_angle_beta 90.00
_cell_angle_gamma 90.00
loop_
_atom_site_label
_atom_site_fract_x
_atom_site_fract_y
_atom_site_fract_z
_atom_site_occupancy
Nb1 0.184 0.316 0.000 1
Pd1 0.000 0.500 0.500 1
Pd2 0.058 0.794 0.500 1
```

Offset from the most stable computed form   0.223 eV/atom
ΔE_f   -0.09 eV per atom
Crystal system   tetragonal
Final energy   -6.673 eV/atom